Entry 1:
DFT (PBE) results for a geometry-optimized Pm4RuRh3 structure.

The structure in POSCAR format:
```
Pm4RuRh3
1.0
-1.943 -0.469 -2.922
-0.769 -3.295 1.040
-11.136 4.698 6.652
Pm Ru Rh
4 1 3
Cartesian
-1.382 0.583 0.825 Pm
-4.174 1.761 2.494 Pm
-9.754 4.115 5.827 Pm
-6.962 2.937 4.159 Pm
-1.356 -1.882 -0.941 Ru
-9.675 1.627 4.029 Rh
-6.924 0.467 2.385 Rh
-4.173 -0.694 0.742 Rh
```

## Properties
- N(E_F): 0.526 states/eV/atom
- E: -6.845 eV/atom
- Energy relative to the elements: -4.4 eV per formula unit
- Density: 9.51 g/cm3



Entry 2:
DFT (PBE) results for a geometry-optimized Pm4RuRh structure.

The structure in POSCAR format:
```
Pm4RuRh
1.0
6.075 0.140 -2.124
-2.567 6.428 -3.080
0.094 0.093 8.109
Pm Ru Rh
8 2 2
Cartesian
0.490 2.050 1.465 Pm
3.112 4.611 1.440 Pm
0.671 4.188 4.321 Pm
-0.502 1.603 6.300 Pm
3.849 0.398 1.351 Pm
2.931 2.473 -1.416 Pm
4.103 5.058 -3.394 Pm
-0.247 6.263 1.554 Pm
2.072 6.606 3.404 Ru
1.529 0.054 -0.499 Ru
2.862 2.490 3.473 Rh
0.740 4.171 -0.568 Rh
```

## Properties
- N(E_F): 0.839 states/eV/atom
- E: -6.332 eV/atom
- Energy relative to the elements: -2.4 eV per formula unit
- Density: 8.06 g/cm3
- Distance to the lowest polymorph of the same formula: 0.00 eV per formula unit



Entry 3:
DFT (PBE) results for a geometry-optimized Pm6RuRh5 structure.

The structure in POSCAR format:
```
Pm6RuRh5
1.0
-4.985 -0.148 0.298
-0.268 -3.291 -6.123
2.864 -6.522 3.380
Pm Rh Ru
6 5 1
Cartesian
0.171 -9.067 -1.068 Pm
-2.559 -0.895 -1.377 Pm
-0.077 -4.658 -3.425 Pm
-2.312 -5.304 0.980 Pm
0.058 -3.009 -0.357 Pm
-2.446 -6.952 -2.088 Pm
-2.499 -3.934 -1.728 Rh
-0.134 -1.645 -3.062 Rh
-2.368 -2.268 1.323 Rh
-0.020 -7.694 -3.768 Rh
0.111 -6.028 -0.717 Rh
0.000 0.000 0.000 Ru
```

## Properties
- N(E_F): 0.597 states/eV/atom
- E: -6.810 eV/atom
- Energy relative to the elements: -7.2 eV per formula unit
- Density: 9.48 g/cm3



Entry 4:
DFT (PBE) results for a geometry-optimized Pm3RuRh structure.

The structure in POSCAR format:
```
Pm3RuRh
1.0
6.410 0.000 0.000
0.000 10.176 0.405
0.000 -3.710 7.577
Pm Ru Rh
12 4 4
Cartesian
3.127 -1.164 6.638 Pm
3.078 0.640 2.499 Pm
3.332 5.827 5.483 Pm
0.011 -0.873 2.219 Pm
3.195 4.215 2.421 Pm
0.078 3.925 6.840 Pm
3.216 2.252 5.561 Pm
6.332 2.542 1.142 Pm
6.283 0.739 5.281 Pm
3.283 7.630 1.344 Pm
6.400 7.340 5.763 Pm
0.127 5.728 2.701 Pm
5.283 3.789 4.332 Ru
2.078 7.767 3.852 Ru
4.332 -1.300 4.130 Ru
1.127 2.678 3.649 Ru
1.687 6.411 7.938 Rh
4.723 0.056 0.044 Rh
1.518 1.323 7.735 Rh
4.893 5.144 0.246 Rh
```

## Properties
- N(E_F): 0.621 states/eV/atom
- E: -6.555 eV/atom
- Energy relative to the elements: -1.9 eV per formula unit
- Density: 8.42 g/cm3
- Distance to the lowest polymorph of the same formula: 0.00 eV per formula unit



Entry 5:
DFT (PBE) results for a geometry-optimized Pm6RuRh2 structure.

The structure in POSCAR format:
```
Pm6RuRh2
1.0
6.710 0.000 0.184
0.000 7.450 0.000
-0.565 0.000 10.055
Pm Rh Ru
12 4 2
Cartesian
4.002 1.326 9.453 Pm
1.045 2.409 0.734 Pm
1.857 4.100 7.576 Pm
4.289 3.350 2.663 Pm
5.216 5.052 5.904 Pm
5.494 7.075 2.640 Pm
2.027 6.134 4.385 Pm
2.144 6.124 0.785 Pm
0.929 2.399 4.334 Pm
5.100 5.041 9.505 Pm
4.118 1.316 5.853 Pm
0.651 0.375 7.598 Pm
5.940 2.868 7.749 Rh
3.278 6.593 7.608 Rh
2.867 0.857 2.630 Rh
0.205 4.583 2.489 Rh
3.355 3.725 0.092 Ru
-0.282 0.000 5.027 Ru
```

## Properties
- N(E_F): 0.845 states/eV/atom
- E: -6.244 eV/atom
- Energy relative to the elements: -3.7 eV per formula unit
- Density: 7.76 g/cm3



Entry 6:
DFT (PBE) results for a geometry-optimized Pm12Ru2Rh5 structure.

The structure in POSCAR format:
```
Pm12Ru2Rh5
1.0
-0.147 -0.434 -7.381
-6.580 -4.669 4.111
-3.245 8.400 -0.430
Pm Rh Ru
12 5 2
Cartesian
-7.226 -3.368 -3.363 Pm
-2.631 -0.975 -1.843 Pm
-2.486 6.018 -4.010 Pm
-7.271 4.478 1.633 Pm
-2.701 -1.181 -5.334 Pm
-2.746 6.665 -0.338 Pm
-7.341 4.272 -1.858 Pm
-5.967 0.344 2.000 Pm
-3.929 3.177 -1.912 Pm
-4.005 2.954 -5.701 Pm
-7.486 -2.721 0.309 Pm
-6.042 0.121 -1.789 Pm
-4.741 -1.637 0.191 Rh
-3.876 0.903 -3.681 Rh
-1.622 4.200 -0.215 Rh
-5.231 4.934 -3.891 Rh
-6.095 2.394 -0.020 Rh
-0.104 -0.308 -5.225 Ru
-0.043 -0.127 -2.156 Ru
```

## Properties
- N(E_F): 0.560 states/eV/atom
- E: -6.344 eV/atom
- Energy relative to the elements: -8.2 eV per formula unit
- Density: 7.67 g/cm3



Entry 7:
DFT (PBE) results for a geometry-optimized PmSbRuRh structure.

The structure in POSCAR format:
```
PmSbRuRh
1.0
4.758 0.000 0.000
2.379 4.121 0.000
2.379 1.374 3.885
Pm Rh Sb Ru
1 1 1 1
Cartesian
2.379 1.374 0.971 Pm
4.758 2.747 1.943 Rh
7.137 4.121 2.914 Sb
0.000 0.000 0.000 Ru
```

## Properties
- N(E_F): 0.884 states/eV/atom
- E: -6.795 eV/atom
- Density: 10.26 g/cm3



Entry 8:
DFT (PBE) results for a geometry-optimized Pm2Sb4RuRh3 structure.

The structure in POSCAR format:
```
Pm2Sb4RuRh3
1.0
4.480 0.000 0.000
0.000 4.480 0.000
0.000 0.000 10.698
Sb Rh Pm Ru
4 3 2 1
Cartesian
0.000 2.240 3.936 Sb
0.000 0.000 0.000 Sb
2.240 0.000 6.762 Sb
2.240 2.240 0.000 Sb
0.000 0.000 5.349 Rh
0.000 2.240 1.369 Rh
2.240 0.000 9.330 Rh
0.000 2.240 7.964 Pm
2.240 0.000 2.734 Pm
2.240 2.240 5.349 Ru
```

## Properties
- N(E_F): 0.484 states/eV/atom
- E: -6.459 eV/atom
- Density: 9.18 g/cm3



no.,size of the total moment (μB per atom)
1,0.0000
2,0.0000
3,0.0000
4,0.0000
5,0.0000
6,0.0000
7,0.1922
8,0.0000